The following is a DFT calculation (GGA-PBE) of crystalline PuPaSbO6 at its relaxed geometry.

E_tot   -9.01 eV/atom
Total moment   8.000 μB per cell
D(E_F)   0.1369 states/eV/atom
Formation energy (no corrections)   -23.39 eV per formula unit
Space-group type   P-31c
ρ   8.279 Mg/m³

Geometry as POSCAR:
```
PuPaSbO6
1.0
-4.5676 -1.5043 -3.2576
5.3012 0.2332 -2.3624
1.4042 -9.1345 2.2493
Pa O Pu Sb
2 12 2 2
direct
0.3333 0.6667 0.2500 Pa
0.6667 0.3333 0.7500 Pa
0.3211 0.9843 0.1306 O
0.3368 0.3211 0.8694 O
0.0157 0.6789 0.3694 O
0.6789 0.0157 0.8694 O
0.3368 0.0157 0.6306 O
0.9843 0.3211 0.6306 O
0.3211 0.3368 0.3694 O
0.9843 0.6632 0.8694 O
0.6632 0.6789 0.1306 O
0.6632 0.9843 0.3694 O
0.6789 0.6632 0.6306 O
0.0157 0.3368 0.1306 O
0.0000 0.0000 0.5000 Pu
0.0000 0.0000 0.0000 Pu
0.3333 0.6667 0.7500 Sb
0.6667 0.3333 0.2500 Sb
```